Entry from Alexandria via LeMat-Bulk: an optimized crystal structure of YZrFe2O6 (GGA+U).

As for the space group: P1 (1). The calculation puts the uncorrected energy at -8.092 eV per atom. The crystal system is triclinic. The calculation puts the spin magnetization at 9.0 μB per formula unit.

abc: 5.4849 5.4651 5.7253
angles: 61.99 61.15 60.10
Site moments in Bohr magnetons follow the coordinates.
Fractional coordinates of all 10 atoms:
1 O 0.2073 0.8988 0.2448  0.10
2 O 0.6405 0.2120 0.2546  0.11
3 O 0.7501 0.1005 0.7508  0.11
4 O 0.8952 0.6485 0.2478  0.11
5 O 0.1018 0.4019 0.7495  0.11
6 O 0.4038 0.7430 0.7431  0.11
7 Y 0.3075 0.3057 0.0814  0.01
8 Fe 0.0199 0.0184 0.9431  4.33
9 Fe 0.5226 0.5259 0.4268  3.79
10 Zr 0.8128 0.8069 0.5734  0.03